LaNi2P: relaxed, PBE-GGA.

Cell: 5.542 5.542 5.542 Å, 42.01 42.01 42.01°
Positions (direct):
La 0.249 0.249 0.249
Ni 0.756 0.756 0.756
P 0.447 0.447 0.447
Ni 0.050 0.050 0.050

Results
**Energy of formation from the pure elements**: -736 meV/atom
**Symmetry**: R3m
**D(E_F)**: 2.4 states/eV/f.u.